w.
A plane-wave DFT calculation with GGA-PBE was carried out for an optimized crystal structure of Ce4As3.

Cell lengths 8.8881, 8.8881, 8.8881 Å; angles 90.00, 90.00, 90.00 degrees
Last column: nearest neighbours and their distance in Å.
Space group I-43d (No. 220)
Symmetry-distinct sites (fractional):
Ce  0.0706  0.0706  0.0706 x16  6 As 2.96-3.20
As  0.0000  0.2500  0.3750 x12  8 Ce 2.96-3.20

Properties
Calculated volume   702.1 Å³ per cell

=====

x.
A plane-wave DFT calculation with GGA-PBE was carried out for an optimized crystal structure of Ce4As3.

Cell lengths 4.2694, 4.2694, 35.4012 Å; angles 90.00, 90.00, 120.00 degrees
Last column: nearest neighbours and their distance in Å.
Space group R-3m (No. 166, hexagonal axes)
Symmetry-distinct sites (fractional):
Ce  0.0000  0.0000  0.1193 x6  6 As 2.98-3.01
Ce  0.0000  0.0000  0.3594 x6  3 As 2.93, 3 Ce 3.08
As  0.0000  0.0000  0.2628 x6  6 Ce 2.93-3.01
As  0.0000  0.0000  0.5000 x3  6 Ce 2.98

Properties
Calculated volume   558.8 Å³ per cell

=====

Computed energies relative to the best structure, in eV/atom: w 0.000; x 0.120

=====

w.
A plane-wave DFT calculation with GGA-PBE was carried out for an optimized crystal structure of Ce4AsCl5.

Cell lengths 8.4488, 9.7738, 6.8644 Å; angles 90.00, 90.00, 90.00 degrees
Last column: nearest neighbours and their distance in Å.
Space group Pmmn (No. 59, origin choice 2)
Symmetry-distinct sites (fractional):
Ce  0.0851  0.2500  0.0247 x4  1 Ce 2.79, 3 Cl 2.87-2.92, 1 As 3.01
Ce  0.2500  0.5064  0.6034 x4  5 Cl 2.78-3.00, 1 As 2.83
As  0.2500  0.7500  0.8277 x2  4 Ce 2.83-3.01
Cl  0.0491  0.5541  0.2498 x8  3 Ce 2.78-3.00
Cl  0.2500  0.2500  0.3906 x2  4 Ce 2.87-2.90

Properties
Calculated volume   566.8 Å³ per cell

=====

x.
A plane-wave DFT calculation with GGA-PBE was carried out for an optimized crystal structure of Ce4AsCl5.

Cell lengths 17.6073, 4.0038, 8.4646 Å; angles 90.00, 101.53, 90.00 degrees
Last column: nearest neighbours and their distance in Å.
Space group C2/m (No. 12)
Symmetry-distinct sites (fractional):
Ce  0.0018  0.0000  0.2414 x4  2 As 2.86, 4 Cl 2.86-2.97
Ce  0.1673  0.5000  0.0707 x4  5 Cl 2.88-2.93, 1 As 2.89
As  0.0000  0.5000  0.0000 x2  6 Ce 2.86-2.89
Cl  0.0000  0.5000  0.5000 x2  4 Ce 2.97
Cl  0.1653  0.0000  0.8172 x4  4 Ce 2.88-2.93
Cl  0.1675  0.0000  0.3154 x4  3 Ce 2.86-2.88

Properties
Calculated volume   584.7 Å³ per cell

=====

Computed energies relative to the best structure, in eV/atom: w 0.221; x 0.000

=====

w.
A plane-wave DFT calculation with GGA-PBE was carried out for an optimized crystal structure of CeAsCl.

Cell lengths 4.6467, 4.6467, 3.8848 Å; angles 90.00, 90.00, 120.00 degrees
Last column: nearest neighbours and their distance in Å.
Space group P3m1 (No. 156)
Symmetry-distinct sites (fractional):
Ce  0.0000  0.0000  0.0000 x1  3 Cl 2.68
As  0.6667  0.3333  0.4983 x1  6 Ce 3.31-3.32, 6 Cl 3.31
Cl  0.3333  0.6667  0.9971 x1  3 Ce 2.68

Properties
Calculated volume   72.6 Å³ per cell

=====

x.
A plane-wave DFT calculation with GGA-PBE was carried out for an optimized crystal structure of CeAsCl.

Cell lengths 5.5859, 9.4736, 5.1605 Å; angles 90.00, 90.00, 90.00 degrees
Last column: nearest neighbours and their distance in Å.
Space group Cmcm (No. 63)
Symmetry-distinct sites (fractional):
Ce  0.0000  0.2401  0.2500 x4  4 Cl 2.85-3.13, 1 As 3.01
As  0.0000  0.4420  0.7500 x4  2 As 2.80, 1 Ce 3.01, 1 Cl 3.13
Cl  0.0000  0.1114  0.7500 x4  4 Ce 2.85-3.13, 1 As 3.13

Properties
Calculated volume   273.1 Å³ per cell

=====

Computed energies relative to the best structure, in eV/atom: w 0.057; x 0.000

=====

w.
A plane-wave DFT calculation with GGA-PBE was carried out for an optimized crystal structure of CeAsCl.

Cell lengths 6.8083, 6.8083, 6.8083 Å; angles 90.00, 90.00, 90.00 degrees
Last column: nearest neighbours and their distance in Å.
Space group F-43m (No. 216)
Symmetry-distinct sites (fractional):
Ce  0.0000  0.0000  0.0000 x4  4 Cl 2.95, 4 As 2.95
As  0.2500  0.2500  0.2500 x4  4 Ce 2.95
Cl  0.2500  0.2500  0.7500 x4  4 Ce 2.95

Properties
Calculated volume   315.6 Å³ per cell

=====

x.
A plane-wave DFT calculation with GGA-PBE was carried out for an optimized crystal structure of CeAsCl.

Cell lengths 8.1775, 5.8292, 6.1271 Å; angles 90.00, 99.47, 90.00 degrees
Last column: nearest neighbours and their distance in Å.
Space group P2_1/c (No. 14)
Symmetry-distinct sites (fractional):
Ce  0.2225  0.0156  0.2996 x4  3 Cl 2.83-2.93, 5 As 2.90-3.15
As  0.1376  0.5213  0.2823 x4  5 Ce 2.90-3.15
Cl  0.4664  0.2430  0.6063 x4  3 Ce 2.83-2.93, 2 Cl 3.06

Properties
Calculated volume   288.1 Å³ per cell

=====

Computed energies relative to the best structure, in eV/atom: w 0.100; x 0.000

=====

w.
A plane-wave DFT calculation with GGA-PBE was carried out for an optimized crystal structure of CeCu3As3.

Cell lengths 6.9278, 6.9278, 20.2982 Å; angles 90.00, 90.00, 120.00 degrees
Last column: nearest neighbours and their distance in Å.
Space group R-3 (No. 148, hexagonal axes)
Symmetry-distinct sites (fractional):
Ce  0.0000  0.0000  0.1675 x6  6 As 2.93
Cu  0.0027  0.3407  0.3737 x18  4 As 2.44-2.47
As  0.0029  0.3257  0.5866 x18  4 Cu 2.44-2.47

Properties
Calculated volume   843.7 Å³ per cell

=====

x.
A plane-wave DFT calculation with GGA-PBE was carried out for an optimized crystal structure of CeCu3As3.

Cell lengths 6.6001, 6.6001, 6.6001 Å; angles 90.00, 90.00, 90.00 degrees
Last column: nearest neighbours and their distance in Å.
Space group Pm-3n (No. 223)
Symmetry-distinct sites (fractional):
Ce  0.0000  0.0000  0.0000 x2  12 As 3.69, 12 Cu 3.69
Cu  0.0000  0.2500  0.5000 x6  4 As 2.33
As  0.0000  0.5000  0.2500 x6  4 Cu 2.33

Properties
Calculated volume   287.5 Å³ per cell

=====

Computed energies relative to the best structure, in eV/atom: w 0.000; x 0.180

=====

w.
A plane-wave DFT calculation with GGA-PBE was carried out for an optimized crystal structure of CeDy3As4.

Cell lengths 5.8620, 5.8620, 5.8620 Å; angles 90.00, 90.00, 90.00 degrees
Last column: nearest neighbours and their distance in Å.
Space group Pm-3m (No. 221)
Symmetry-distinct sites (fractional):
Ce  0.0000  0.0000  0.0000 x1  6 As 2.93
Dy  0.0000  0.5000  0.5000 x3  6 As 2.93
As  0.0000  0.0000  0.5000 x3  4 Dy 2.93, 2 Ce 2.93
As  0.5000  0.5000  0.5000 x1  6 Dy 2.93

Properties
Calculated volume   201.4 Å³ per cell

=====

x.
A plane-wave DFT calculation with GGA-PBE was carried out for an optimized crystal structure of CeDy3As4.

Cell lengths 8.2838, 11.7028, 4.1431 Å; angles 90.00, 90.00, 90.00 degrees
Last column: nearest neighbours and their distance in Å.
Space group Cmmm (No. 65)
Symmetry-distinct sites (fractional):
Ce  0.0000  0.0000  0.0000 x2  6 As 2.93-2.94
Dy  0.0000  0.5000  0.0000 x2  6 As 2.91-2.92
Dy  0.2500  0.2500  0.5000 x4  6 As 2.93
As  0.0000  0.2507  0.0000 x4  5 Dy 2.92-2.93, 1 Ce 2.93
As  0.2474  0.5000  0.5000 x4  4 Dy 2.91-2.93, 2 Ce 2.94

Properties
Calculated volume   401.7 Å³ per cell

=====

Computed energies relative to the best structure, in eV/atom: w 0.007; x 0.000

=====

w.
A plane-wave DFT calculation with GGA-PBE was carried out for an optimized crystal structure of CeGaAs2.

Cell lengths 4.5632, 4.5632, 3.9463 Å; angles 90.00, 90.00, 90.00 degrees
Last column: nearest neighbours and their distance in Å.
Space group P4/mmm (No. 123)
Symmetry-distinct sites (fractional):
Ce  0.0000  0.0000  0.0000 x1  8 As 3.02, 4 Ga 3.23
Ga  0.5000  0.5000  0.0000 x1  8 As 3.02, 4 Ce 3.23
As  0.0000  0.5000  0.5000 x2  4 Ce 3.02, 4 Ga 3.02, 4 As 3.23

Properties
Calculated volume   82.2 Å³ per cell

=====

x.
A plane-wave DFT calculation with GGA-PBE was carried out for an optimized crystal structure of CeGaAs2.

Cell lengths 3.4303, 3.4303, 27.9853 Å; angles 90.00, 90.00, 120.00 degrees
Last column: nearest neighbours and their distance in Å.
Space group R-3m (No. 166, hexagonal axes)
Symmetry-distinct sites (fractional):
Ce  0.0000  0.0000  0.0000 x3  2 As 2.94
Ga  0.0000  0.0000  0.5000 x3  6 As 2.62
As  0.0000  0.0000  0.1052 x6  3 Ga 2.62

Properties
Calculated volume   285.2 Å³ per cell

=====

Computed energies relative to the best structure, in eV/atom: w 0.000; x 0.848

=====

w.
A plane-wave DFT calculation with GGA-PBE was carried out for an optimized crystal structure of CeGdAs.

Cell lengths 3.7803, 3.7803, 11.1372 Å; angles 90.00, 90.00, 90.00 degrees
Last column: nearest neighbours and their distance in Å.
Space group I4mm (No. 107)
Symmetry-distinct sites (fractional):
Ce  0.0000  0.0000  0.0000 x2  1 Gd 3.08, 4 As 3.13
Gd  0.0000  0.0000  0.7239 x2  4 As 3.04, 1 Ce 3.08
As  0.0000  0.0000  0.3534 x2  4 Gd 3.04, 4 Ce 3.13

Properties
Calculated volume   159.2 Å³ per cell

=====

x.
A plane-wave DFT calculation with GGA-PBE was carried out for an optimized crystal structure of CeGdAs.

Cell lengths 3.9913, 3.9913, 6.5690 Å; angles 90.00, 90.00, 120.00 degrees
Last column: nearest neighbours and their distance in Å.
Space group P3m1 (No. 156)
Symmetry-distinct sites (fractional):
Ce  0.0000  0.0000  0.0000 x1  3 As 2.91
Gd  0.6667  0.3333  0.4648 x1  3 As 2.88
As  0.3333  0.6667  0.7282 x1  3 Gd 2.88, 3 Ce 2.91

Properties
Calculated volume   90.6 Å³ per cell

=====

y.
A plane-wave DFT calculation with GGA-PBE was carried out for an optimized crystal structure of CeGdAs.

Cell lengths 6.9733, 6.9733, 6.9733 Å; angles 90.00, 90.00, 90.00 degrees
Last column: nearest neighbours and their distance in Å.
Space group F-43m (No. 216)
Symmetry-distinct sites (fractional):
Ce  0.0000  0.0000  0.0000 x4  4 As 3.02
Gd  0.0000  0.0000  0.5000 x4  4 As 3.02
As  0.2500  0.2500  0.7500 x4  4 Gd 3.02, 4 Ce 3.02

Properties
Calculated volume   339.1 Å³ per cell

=====

Computed energies relative to the best structure, in eV/atom: w 0.076; x 0.000; y 0.065

=====

w.
A plane-wave DFT calculation with GGA-PBE was carried out for an optimized crystal structure of CeGeAs2.

Cell lengths 4.5288, 4.5288, 4.0202 Å; angles 90.00, 90.00, 90.00 degrees
Last column: nearest neighbours and their distance in Å.
Space group P4/mmm (No. 123)
Symmetry-distinct sites (fractional):
Ce  0.0000  0.0000  0.0000 x1  8 As 3.03, 4 Ge 3.20
Ge  0.5000  0.5000  0.0000 x1  8 As 3.03, 4 Ce 3.20
As  0.0000  0.5000  0.5000 x2  4 Ge 3.03, 4 Ce 3.03, 4 As 3.20

Properties
Calculated volume   82.5 Å³ per cell

=====

x.
A plane-wave DFT calculation with GGA-PBE was carried out for an optimized crystal structure of CeGeAs2.

Cell lengths 3.4957, 3.4957, 27.5949 Å; angles 90.00, 90.00, 120.00 degrees
Last column: nearest neighbours and their distance in Å.
Space group R-3m (No. 166, hexagonal axes)
Symmetry-distinct sites (fractional):
Ce  0.0000  0.0000  0.0000 x3  2 As 2.93
Ge  0.0000  0.0000  0.5000 x3  6 As 2.62
As  0.0000  0.0000  0.1061 x6  3 Ge 2.62, 1 Ce 2.93

Properties
Calculated volume   292.0 Å³ per cell

=====

y.
A plane-wave DFT calculation with GGA-PBE was carried out for an optimized crystal structure of CeGeAs2.

Cell lengths 5.7975, 4.1924, 16.7605 Å; angles 90.00, 90.00, 90.00 degrees
Last column: nearest neighbours and their distance in Å.
Space group Pnma (No. 62)
Symmetry-distinct sites (fractional):
Ce  0.2501  0.2500  0.0823 x4  6 As 2.90-2.99
Ge  0.1870  0.2500  0.8492 x4  4 As 2.48-2.77
As  0.0996  0.2500  0.6904 x4  2 Ge 2.48-2.71
As  0.2489  0.7500  0.9552 x4  2 Ge 2.77, 4 Ce 2.96-2.99

Properties
Calculated volume   407.4 Å³ per cell

=====

Computed energies relative to the best structure, in eV/atom: w 0.000; x 0.833; y 0.138

=====

w.
A plane-wave DFT calculation with GGA-PBE was carried out for an optimized crystal structure of Ce2GeAs.

Cell lengths 4.2230, 4.2230, 20.7083 Å; angles 90.00, 90.00, 120.00 degrees
Last column: nearest neighbours and their distance in Å.
Space group R-3m (No. 166, hexagonal axes)
Symmetry-distinct sites (fractional):
Ce  0.0000  0.0000  0.2503 x6  3 As 2.98, 3 Ge 2.99
Ge  0.0000  0.0000  0.5000 x3  6 Ce 2.99
As  0.0000  0.0000  0.0000 x3  6 Ce 2.98

Properties
Calculated volume   319.8 Å³ per cell

=====

x.
A plane-wave DFT calculation with GGA-PBE was carried out for an optimized crystal structure of Ce2GeAs.

Cell lengths 4.1640, 4.1640, 21.7209 Å; angles 90.00, 90.00, 120.00 degrees
Last column: nearest neighbours and their distance in Å.
Space group R3m (No. 160, hexagonal axes)
Symmetry-distinct sites (fractional):
Ce  0.0000  0.0000  0.0000 x3  3 As 3.00, 3 Ge 3.06
Ce  0.0000  0.0000  0.1716 x3  3 As 2.95, 3 Ge 3.02
Ge  0.0000  0.0000  0.7539 x3  6 Ce 3.02-3.06
As  0.0000  0.0000  0.5838 x3  6 Ce 2.95-3.00

Properties
Calculated volume   326.2 Å³ per cell

=====

Computed energies relative to the best structure, in eV/atom: w 0.000; x 0.154

=====

w.
A plane-wave DFT calculation with GGA-PBE was carried out for an optimized crystal structure of CeGeAs.

Cell lengths 4.4700, 4.4700, 3.9382 Å; angles 90.00, 90.00, 120.00 degrees
Last column: nearest neighbours and their distance in Å.
Space group P-6m2 (No. 187)
Symmetry-distinct sites (fractional):
Ce  0.0000  0.0000  0.0000 x1  6 Ge 3.25, 6 As 3.25
Ge  0.6667  0.3333  0.5000 x1  3 As 2.58
As  0.3333  0.6667  0.5000 x1  3 Ge 2.58

Properties
Calculated volume   68.1 Å³ per cell

=====

x.
A plane-wave DFT calculation with GGA-PBE was carried out for an optimized crystal structure of CeGeAs.

Cell lengths 4.1746, 4.1746, 8.2571 Å; angles 90.00, 90.00, 90.00 degrees
Last column: nearest neighbours and their distance in Å.
Space group I4mm (No. 107)
Symmetry-distinct sites (fractional):
Ce  0.0000  0.0000  0.0000 x2  5 Ge 2.93-3.19, 5 As 2.98-3.17
Ge  0.0000  0.0000  0.3543 x2  1 As 2.35
As  0.0000  0.0000  0.6392 x2  1 Ge 2.35

Properties
Calculated volume   143.9 Å³ per cell

=====

Computed energies relative to the best structure, in eV/atom: w 0.000; x 0.076

=====

w.
A plane-wave DFT calculation with GGA-PBE was carried out for an optimized crystal structure of Ce2AsH.

Cell lengths 4.0943, 4.0943, 23.1699 Å; angles 90.00, 90.00, 120.00 degrees
Last column: nearest neighbours and their distance in Å.
Space group R-3m (No. 166, hexagonal axes)
Symmetry-distinct sites (fractional):
Ce  0.0000  0.0000  0.0929 x6  1 H 2.15
As  0.0000  0.0000  0.5000 x3  6 Ce 2.92
H  0.0000  0.0000  0.0000 x3  2 Ce 2.15

Properties
Calculated volume   336.4 Å³ per cell

=====

x.
A plane-wave DFT calculation with GGA-PBE was carried out for an optimized crystal structure of Ce2AsH.

Cell lengths 3.9383, 3.9383, 19.3577 Å; angles 90.00, 90.00, 120.00 degrees
Last column: nearest neighbours and their distance in Å.
Space group R3m (No. 160, hexagonal axes)
Symmetry-distinct sites (fractional):
Ce  0.0000  0.0000  0.0000 x3  3 H 2.63, 1 Ce 2.81, 3 As 2.91
Ce  0.0000  0.0000  0.1452 x3  3 H 2.72, 1 Ce 2.81, 3 As 2.91
As  0.0000  0.0000  0.5726 x3  6 Ce 2.91
H  0.0000  0.0000  0.4015 x3  6 Ce 2.63-2.72

Properties
Calculated volume   260.0 Å³ per cell

=====

Computed energies relative to the best structure, in eV/atom: w 0.179; x 0.000